Here is Li2GaHgBi after structural relaxation from Alexandria. Energies are from GGA-PBE.

Calculated values
DOS(E_F) (states/eV/cell): 3.2
Formation energy (eV per atom): -0.27

```
data_Li2GaHgBi
_chemical_formula_sum 'Li4 Ga2 Hg2 Bi2'
_cell_length_a 4.149
_cell_length_b 6.927
_cell_length_c 7.468
_cell_angle_alpha 100.85
_cell_angle_beta 90.00
_cell_angle_gamma 90.00
_symmetry_space_group_name_H-M 'P 1'
_symmetry_Int_Tables_number 1
_symmetry_space_group_name_Hall 'P 1'
loop_
_atom_site_label
_atom_site_fract_x
_atom_site_fract_y
_atom_site_fract_z
Li1 0.750 0.844 0.547
Li2 0.750 0.667 0.935
Li3 0.250 0.156 0.453
Li4 0.250 0.333 0.065
Ga1 0.250 0.553 0.615
Ga2 0.750 0.447 0.385
Hg1 0.250 0.923 0.833
Hg2 0.750 0.077 0.167
Bi1 0.250 0.746 0.246
Bi2 0.750 0.254 0.754
```

Here is Sr2CuGe4Rh3 after structural relaxation from Alexandria. Energies are from GGA-PBE.

Calculated values
DOS(E_F) (states/eV/cell): 6.0
Formation energy (eV per atom): -0.59

```
data_Sr2CuGe4Rh3
_chemical_formula_sum 'Sr2 Cu1 Ge4 Rh3'
_cell_length_a 4.389
_cell_length_b 4.389
_cell_length_c 10.043
_cell_angle_alpha 90.00
_cell_angle_beta 90.00
_cell_angle_gamma 90.00
_symmetry_space_group_name_H-M 'P 1'
_symmetry_Int_Tables_number 1
_symmetry_space_group_name_Hall 'P 1'
loop_
_atom_site_label
_atom_site_fract_x
_atom_site_fract_y
_atom_site_fract_z
Sr1 0.500 0.000 0.251
Sr2 0.000 0.500 0.749
Cu1 0.500 0.500 0.500
Ge1 0.500 0.500 0.000
Ge2 0.000 0.000 0.000
Ge3 0.500 0.000 0.623
Ge4 0.000 0.500 0.377
Rh1 0.000 0.000 0.500
Rh2 0.500 0.000 0.876
Rh3 0.000 0.500 0.124
```

Here is Ga8Cu3Ni2 after structural relaxation from Alexandria. Energies are from GGA-PBE.

Calculated values
DOS(E_F) (states/eV/cell): 3.6
Formation energy (eV per atom): -0.19

```
data_Ga8Cu3Ni2
_chemical_formula_sum 'Ga8 Cu3 Ni2'
_cell_length_a 4.058
_cell_length_b 8.154
_cell_length_c 7.236
_cell_angle_alpha 124.63
_cell_angle_beta 90.00
_cell_angle_gamma 90.00
_symmetry_space_group_name_H-M 'P 1'
_symmetry_Int_Tables_number 1
_symmetry_space_group_name_Hall 'P 1'
loop_
_atom_site_label
_atom_site_fract_x
_atom_site_fract_y
_atom_site_fract_z
Ga1 0.000 0.621 0.240
Ga2 0.000 0.379 0.760
Ga3 0.000 0.147 0.292
Ga4 0.000 0.853 0.708
Ga5 0.500 0.613 0.731
Ga6 0.500 0.120 0.733
Ga7 0.500 0.880 0.267
Ga8 0.500 0.387 0.269
Cu1 0.500 0.000 0.000
Cu2 0.000 0.238 0.001
Cu3 0.000 0.762 0.999
Ni1 0.500 0.256 0.514
Ni2 0.500 0.744 0.486
```

formation energy of number 1 (Li2GaHgBi)? -0.27 eV per atom